[1]
First-principles (PBE) data for BaSnTe after structural relaxation, as listed in Alexandria via LeMat-Bulk.

abc: 10.117 10.117 10.117
angles: 152.78 148.56 42.06
Element x y z (fractional)
Ba (0.150, 0.150, 0.000)
Ba (0.850, 0.850, 0.000)
Sn (0.250, 0.500, 0.750)
Sn (0.750, 0.500, 0.250)
Te (0.335, 0.335, 0.000)
Te (0.665, 0.665, 0.000)

Computed properties:
density of states at the Fermi level = 2.1 states/eV/f.u.
total DFT energy (no corrections) = -3.8378 eV/atom
total moment = 0.000 μB per cell

[2]
First-principles (PBE) data for Ba2SnTe4 after structural relaxation, as listed in Alexandria via LeMat-Bulk.

abc: 8.020 7.886 9.582
angles: 90.00 107.62 90.00
Element x y z (fractional)
Ba (0.240, 0.250, 0.058)
Ba (0.240, 0.250, 0.562)
Ba (0.760, 0.750, 0.438)
Ba (0.760, 0.750, 0.942)
Sn (0.228, 0.750, 0.306)
Sn (0.772, 0.250, 0.694)
Te (0.010, 0.516, 0.755)
Te (0.010, 0.984, 0.755)
Te (0.410, 0.750, 0.103)
Te (0.415, 0.750, 0.601)
Te (0.585, 0.250, 0.399)
Te (0.590, 0.250, 0.897)
Te (0.990, 0.016, 0.245)
Te (0.990, 0.484, 0.245)

Computed properties:
total DFT energy (no corrections) = -3.9761 eV/atom
total moment = 0.000 μB per cell

[3]
First-principles (PBE) data for Ba3Sn5Te12 after structural relaxation, as listed in Alexandria via LeMat-Bulk.

abc: 16.153 16.153 16.153
angles: 109.47 109.47 109.47
Element x y z (fractional)
Ba (0.125, 0.250, 0.375)
Ba (0.125, 0.375, 0.750)
Ba (0.250, 0.375, 0.125)
Ba (0.250, 0.875, 0.625)
Ba (0.375, 0.125, 0.250)
Ba (0.375, 0.750, 0.125)
Ba (0.625, 0.250, 0.875)
Ba (0.625, 0.875, 0.750)
Ba (0.750, 0.125, 0.375)
Ba (0.750, 0.625, 0.875)
Ba (0.875, 0.625, 0.250)
Ba (0.875, 0.750, 0.625)
Sn (0.000, 0.000, 0.000)
Sn (0.000, 0.000, 0.500)
Sn (0.000, 0.500, 0.000)
Sn (0.000, 0.500, 0.500)
Sn (0.125, 0.750, 0.875)
Sn (0.125, 0.875, 0.250)
Sn (0.250, 0.125, 0.875)
Sn (0.250, 0.625, 0.375)
Sn (0.375, 0.250, 0.625)
Sn (0.375, 0.625, 0.750)
Sn (0.500, 0.000, 0.000)
Sn (0.500, 0.000, 0.500)
Sn (0.500, 0.500, 0.000)
Sn (0.500, 0.500, 0.500)
Sn (0.625, 0.375, 0.250)
Sn (0.625, 0.750, 0.375)
Sn (0.750, 0.375, 0.625)
Sn (0.750, 0.875, 0.125)
Sn (0.875, 0.125, 0.750)
Sn (0.875, 0.250, 0.125)
Te (0.032, 0.210, 0.122)
Te (0.032, 0.322, 0.910)
Te (0.088, 0.710, 0.678)
Te (0.088, 0.878, 0.410)
Te (0.090, 0.622, 0.412)
Te (0.090, 0.968, 0.678)
Te (0.122, 0.032, 0.210)
Te (0.122, 0.590, 0.912)
Te (0.178, 0.210, 0.588)
Te (0.178, 0.468, 0.590)
Te (0.210, 0.122, 0.032)
Te (0.210, 0.588, 0.178)
Te (0.290, 0.322, 0.912)
Te (0.290, 0.468, 0.378)
Te (0.322, 0.910, 0.032)
Te (0.322, 0.912, 0.290)
Te (0.378, 0.290, 0.468)
Te (0.378, 0.588, 0.910)
Te (0.410, 0.088, 0.878)
Te (0.410, 0.822, 0.532)
Te (0.412, 0.090, 0.622)
Te (0.412, 0.822, 0.790)
Te (0.468, 0.378, 0.290)
Te (0.468, 0.590, 0.178)
Te (0.532, 0.410, 0.822)
Te (0.532, 0.622, 0.710)
Te (0.588, 0.178, 0.210)
Te (0.588, 0.910, 0.378)
Te (0.590, 0.178, 0.468)
Te (0.590, 0.912, 0.122)
Te (0.622, 0.412, 0.090)
Te (0.622, 0.710, 0.532)
Te (0.678, 0.088, 0.710)
Te (0.678, 0.090, 0.968)
Te (0.710, 0.532, 0.622)
Te (0.710, 0.678, 0.088)
Te (0.790, 0.412, 0.822)
Te (0.790, 0.878, 0.968)
Te (0.822, 0.532, 0.410)
Te (0.822, 0.790, 0.412)
Te (0.878, 0.410, 0.088)
Te (0.878, 0.968, 0.790)
Te (0.910, 0.032, 0.322)
Te (0.910, 0.378, 0.588)
Te (0.912, 0.122, 0.590)
Te (0.912, 0.290, 0.322)
Te (0.968, 0.678, 0.090)
Te (0.968, 0.790, 0.878)

Computed properties:
density of states at the Fermi level = 7.2 states/eV/f.u.
total DFT energy (no corrections) = -3.7750 eV/atom
total moment = 0.000 μB per cell

[4]
First-principles (PBE) data for BaSn4Te5 after structural relaxation, as listed in Alexandria via LeMat-Bulk.

abc: 12.333 12.333 12.333
angles: 158.46 149.09 37.99
Element x y z (fractional)
Ba (0.000, 0.000, 0.000)
Sn (0.204, 0.204, 0.000)
Sn (0.398, 0.398, 0.000)
Sn (0.602, 0.602, 0.000)
Sn (0.796, 0.796, 0.000)
Te (0.111, 0.611, 0.500)
Te (0.302, 0.802, 0.500)
Te (0.500, 0.000, 0.500)
Te (0.698, 0.198, 0.500)
Te (0.889, 0.389, 0.500)

Computed properties:
total DFT energy (no corrections) = -3.9106 eV/atom
total moment = 0.000 μB per cell

[5]
First-principles (PBE) data for BaSn3Te4 after structural relaxation, as listed in Alexandria via LeMat-Bulk.

abc: 8.097 8.097 4.638
angles: 90.08 90.08 70.83
Element x y z (fractional)
Ba (0.000, 0.000, 0.000)
Sn (0.000, 0.500, 0.500)
Sn (0.500, 0.000, 0.500)
Sn (0.500, 0.500, 0.000)
Te (0.259, 0.259, 0.000)
Te (0.267, 0.733, 0.500)
Te (0.733, 0.267, 0.500)
Te (0.741, 0.741, 0.000)

Computed properties:
total DFT energy (no corrections) = -3.9249 eV/atom
total moment = 0.000 μB per cell

[6]
First-principles (PBE) data for Ba3SnTe4 after structural relaxation, as listed in Alexandria via LeMat-Bulk.

abc: 11.986 9.885 6.984
angles: 90.00 90.00 90.00
Element x y z (fractional)
Ba (0.000, 0.156, 0.000)
Ba (0.245, 0.329, 0.500)
Ba (0.255, 0.671, 0.000)
Ba (0.500, 0.844, 0.500)
Ba (0.745, 0.671, 0.000)
Ba (0.755, 0.329, 0.500)
Sn (0.000, 0.824, 0.463)
Sn (0.500, 0.176, 0.963)
Te (0.000, 0.142, 0.498)
Te (0.000, 0.816, 0.037)
Te (0.244, 0.679, 0.498)
Te (0.256, 0.321, 0.998)
Te (0.500, 0.184, 0.537)
Te (0.500, 0.858, 0.998)
Te (0.744, 0.321, 0.998)
Te (0.756, 0.679, 0.498)

Computed properties:
density of states at the Fermi level = 0.0 states/eV/f.u.
total DFT energy (no corrections) = -4.0734 eV/atom
total moment = 0.000 μB per cell

[7]
First-principles (PBE) data for Ba3SnTe after structural relaxation, as listed in Alexandria via LeMat-Bulk.

abc: 6.492 6.492 6.492
angles: 90.00 90.00 90.00
Element x y z (fractional)
Ba (0.000, 0.000, 0.500)
Ba (0.000, 0.500, 0.000)
Ba (0.500, 0.000, 0.000)
Sn (0.500, 0.500, 0.500)
Te (0.000, 0.000, 0.000)

Computed properties:
density of states at the Fermi level = 0.2 states/eV/f.u.
total DFT energy (no corrections) = -3.2114 eV/atom
total moment = 0.000 μB per cell

[8]
First-principles (PBE) data for Ba4SnTe5 after structural relaxation, as listed in Alexandria via LeMat-Bulk.

abc: 17.783 17.783 17.783
angles: 164.05 164.05 22.63
Element x y z (fractional)
Ba (0.098, 0.098, 0.000)
Ba (0.301, 0.301, 0.000)
Ba (0.699, 0.699, 0.000)
Ba (0.902, 0.902, 0.000)
Sn (0.500, 0.500, 0.000)
Te (0.000, 0.000, 0.000)
Te (0.200, 0.200, 0.000)
Te (0.405, 0.405, 0.000)
Te (0.595, 0.595, 0.000)
Te (0.800, 0.800, 0.000)

Computed properties:
total DFT energy (no corrections) = -4.1901 eV/atom
total moment = 0.000 μB per cell

[9]
First-principles (PBE) data for Ba4SnTe5 after structural relaxation, as listed in Alexandria via LeMat-Bulk.

abc: 8.554 8.554 8.554
angles: 99.77 99.77 131.36
Element x y z (fractional)
Ba (0.098, 0.700, 0.799)
Ba (0.300, 0.098, 0.398)
Ba (0.700, 0.902, 0.602)
Ba (0.902, 0.300, 0.201)
Sn (0.467, 0.467, 0.000)
Te (0.043, 0.043, 0.000)
Te (0.210, 0.402, 0.615)
Te (0.402, 0.787, 0.192)
Te (0.595, 0.210, 0.808)
Te (0.787, 0.595, 0.385)

Computed properties:
density of states at the Fermi level = 0.0 states/eV/f.u.
total DFT energy (no corrections) = -4.2028 eV/atom
total moment = 0.000 μB per cell

[10]
First-principles (PBE) data for Ba2Sn2Te5 after structural relaxation, as listed in Alexandria via LeMat-Bulk.

abc: 12.254 12.254 12.254
angles: 58.54 138.91 140.20
Element x y z (fractional)
Ba (0.023, 0.100, 0.123)
Ba (0.023, 0.400, 0.423)
Ba (0.977, 0.600, 0.577)
Ba (0.977, 0.900, 0.877)
Sn (0.441, 0.763, 0.178)
Sn (0.483, 0.483, 0.000)
Sn (0.483, 0.983, 0.500)
Sn (0.585, 0.263, 0.822)
Te (0.320, 0.051, 0.554)
Te (0.320, 0.267, 0.769)
Te (0.498, 0.551, 0.231)
Te (0.498, 0.767, 0.446)
Te (0.501, 0.232, 0.249)
Te (0.501, 0.752, 0.769)
Te (0.749, 0.121, 0.129)
Te (0.983, 0.252, 0.751)
Te (0.983, 0.732, 0.231)
Te (0.992, 0.621, 0.871)

Computed properties:
density of states at the Fermi level = 3.9 states/eV/f.u.
total DFT energy (no corrections) = -3.8957 eV/atom
total moment = 0.000 μB per cell

[11]
First-principles (PBE) data for Ba2SnTe4 after structural relaxation, as listed in Alexandria via LeMat-Bulk.

abc: 9.641 9.641 9.641
angles: 145.26 145.26 49.95
Element x y z (fractional)
Ba (0.134, 0.134, 0.000)
Ba (0.866, 0.866, 0.000)
Sn (0.500, 0.500, 0.000)
Te (0.000, 0.500, 0.500)
Te (0.329, 0.329, 0.000)
Te (0.500, 0.000, 0.500)
Te (0.671, 0.671, 0.000)

Computed properties:
density of states at the Fermi level = 7.6 states/eV/f.u.
total DFT energy (no corrections) = -3.8065 eV/atom
total moment = 0.000 μB per cell

[12]
First-principles (PBE) data for BaSn3Te after structural relaxation, as listed in Alexandria via LeMat-Bulk.

abc: 5.900 5.900 5.900
angles: 90.00 90.00 90.00
Element x y z (fractional)
Ba (0.000, 0.000, 0.000)
Sn (0.000, 0.500, 0.500)
Sn (0.500, 0.000, 0.500)
Sn (0.500, 0.500, 0.000)
Te (0.500, 0.500, 0.500)

Computed properties:
density of states at the Fermi level = 2.4 states/eV/f.u.
total DFT energy (no corrections) = -3.3323 eV/atom
total moment = 0.000 μB per cell